# 1
Crystalline Pu2Ag3Hg5 at its relaxed geometry, computed with GGA-PBE.

abc: 6.035 9.532 9.532
angles: 88.30 71.55 71.55
Site moments in Bohr magnetons follow the coordinates.
Fractional coordinates of all 20 atoms:
Hg1 0.250 0.500 0.500  0.00
Hg2 0.012 0.238 0.238  -0.01
Hg3 0.103 0.053 0.741  0.00
Hg4 0.512 0.238 0.238  -0.01
Hg5 0.603 0.741 0.053  0.00
Hg6 0.988 0.762 0.762  -0.01
Hg7 0.397 0.259 0.947  0.00
Hg8 0.488 0.762 0.762  -0.01
Hg9 0.897 0.947 0.259  0.00
Hg10 0.750 0.500 0.500  0.00
Pu1 0.633 0.135 0.600  5.53
Pu2 0.133 0.600 0.135  5.53
Pu3 0.367 0.865 0.400  5.53
Pu4 0.867 0.400 0.865  5.53
Ag1 0.367 0.493 0.774  0.00
Ag2 0.750 0.000 0.000  -0.01
Ag3 0.250 0.000 0.000  -0.01
Ag4 0.867 0.774 0.493  0.00
Ag5 0.133 0.226 0.507  0.00
Ag6 0.633 0.507 0.226  0.00

Values from the calculation:
Its space group is No. 72. The value obtained for the energy relative to the elements is 45 meV/atom. The raw total energy comes out at -3.8277 eV per atom.

# 2
Crystalline Pu5Ag3Hg3 at its relaxed geometry, computed with GGA-PBE.

abc: 2.992 10.284 10.284
angles: 120.00 90.00 90.00
Site moments in Bohr magnetons follow the coordinates.
Fractional coordinates of all 11 atoms:
Ag1 0.500 0.000 0.844  0.01
Ag2 0.500 0.844 0.000  0.01
Ag3 0.500 0.156 0.156  0.01
Hg1 0.000 0.608 0.000  -0.03
Hg2 0.000 0.000 0.608  -0.03
Hg3 0.000 0.392 0.392  -0.03
Pu1 0.500 0.667 0.333  5.71
Pu2 0.500 0.000 0.341  5.75
Pu3 0.500 0.659 0.659  5.75
Pu4 0.500 0.341 0.000  5.75
Pu5 0.500 0.333 0.667  5.71

Values from the calculation:
Its space group is No. 189. The value obtained for the energy relative to the elements is 225 meV/atom. The raw total energy comes out at -7.1489 eV per atom.

# 3
Crystalline Pu2AgHg8 at its relaxed geometry, computed with GGA-PBE.

abc: 4.837 4.837 12.070
angles: 90.00 90.00 90.00
Site moments in Bohr magnetons follow the coordinates.
Fractional coordinates of all 11 atoms:
Hg1 0.500 0.000 0.500  0.06
Hg2 0.500 0.000 0.866  0.01
Hg3 0.000 0.500 0.134  0.01
Hg4 0.000 0.500 0.866  0.01
Hg5 0.500 0.500 0.315  0.04
Hg6 0.500 0.500 0.685  0.04
Hg7 0.000 0.500 0.500  0.06
Hg8 0.500 0.000 0.134  0.01
Pu1 0.000 0.000 0.311  5.57
Pu2 0.000 0.000 0.689  5.57
Ag1 0.000 0.000 0.000  -0.01

Values from the calculation:
Its space group is No. 123. The value obtained for the energy relative to the elements is -78 meV/atom. The raw total energy comes out at -3.1622 eV per atom.

# 4
Crystalline Pu3Ag3Hg2 at its relaxed geometry, computed with GGA-PBE.

abc: 4.607 4.632 9.410
angles: 104.24 104.17 90.00
Site moments in Bohr magnetons follow the coordinates.
Fractional coordinates of all 8 atoms:
Hg1 0.752 0.752 0.505  0.02
Hg2 0.248 0.248 0.495  0.02
Ag1 0.629 0.129 0.258  0.03
Ag2 0.371 0.871 0.742  0.03
Ag3 0.500 0.500 0.000  0.05
Pu1 0.879 0.379 0.757  5.55
Pu2 0.000 0.000 0.000  5.67
Pu3 0.121 0.621 0.243  5.55

Values from the calculation:
Its space group is No. 71. The value obtained for the energy relative to the elements is 28 meV/atom. The raw total energy comes out at -6.4908 eV per atom.

# 5
Crystalline PuScAgHg at its relaxed geometry, computed with GGA-PBE.

abc: 5.120 5.120 5.120
angles: 60.00 60.00 60.00
Site moments in Bohr magnetons follow the coordinates.
Fractional coordinates of all 4 atoms:
Sc1 0.500 0.500 0.500  0.21
Pu1 0.000 0.000 0.000  5.40
Ag1 0.750 0.750 0.750  0.04
Hg1 0.250 0.250 0.250  0.05

Values from the calculation:
Its space group is No. 216. The value obtained for the energy relative to the elements is -94 meV/atom. The raw total energy comes out at -6.0485 eV per atom.

# 6
Crystalline SmPuAgHg at its relaxed geometry, computed with GGA-PBE.

abc: 5.295 5.295 5.295
angles: 60.00 60.00 60.00
Site moments in Bohr magnetons follow the coordinates.
Fractional coordinates of all 4 atoms:
Ag1 0.250 0.250 0.250  0.02
Sm1 0.500 0.500 0.500  0.12
Hg1 0.750 0.750 0.750  0.03
Pu1 0.000 0.000 0.000  5.46

Values from the calculation:
Its space group is No. 216. The value obtained for the energy relative to the elements is -151 meV/atom. The raw total energy comes out at -5.7025 eV per atom.

no.,DOS(E_F) (states/eV/cell)
1,60.30
2,33.03
3,31.14
4,27.30
5,10.38
6,11.77